Entry 1:
# CoGe | Alexandria | GGA-PBE | relaxed
data_CoGe
_chemical_formula_sum 'Co6 Ge6'
_cell_length_a 6.4319
_cell_length_b 6.4319
_cell_length_c 6.4319
_cell_angle_alpha 90.00
_cell_angle_beta 90.00
_cell_angle_gamma 90.00
_symmetry_space_group_name_H-M 'P m -3 n'
_symmetry_Int_Tables_number 223
_symmetry_space_group_name_Hall '-P 4n 2 3'
loop_
_atom_site_label
_atom_site_type_symbol
_atom_site_fract_x
_atom_site_fract_y
_atom_site_fract_z
_atom_site_occupancy
Co1 Co 0.0000 0.2500 0.5000 1
Ge1 Ge 0.0000 0.5000 0.2500 1
# **Calculated formation energy**: 0.56 eV per atom

***

Entry 2:
# La2YAg | Alexandria | GGA-PBE | relaxed
data_La2YAg
_chemical_formula_sum 'La4 Y2 Ag2'
_cell_length_a 6.4952
_cell_length_b 11.0969
_cell_length_c 3.6227
_cell_angle_alpha 90.00
_cell_angle_beta 112.88
_cell_angle_gamma 90.00
_symmetry_space_group_name_H-M 'C 1 2/m 1'
_symmetry_Int_Tables_number 12
loop_
_symmetry_equiv_pos_as_xyz
'x,y,z'
'-x,-y,-z'
'-x,y,-z'
'x,-y,z'
'x+1/2,y+1/2,z'
'-x+1/2,-y+1/2,-z'
'-x+1/2,y+1/2,-z'
'x+1/2,-y+1/2,z'
loop_
_atom_site_label
_atom_site_type_symbol
_atom_site_fract_x
_atom_site_fract_y
_atom_site_fract_z
_atom_site_occupancy
La1 La 0.2500 0.2500 0.0000 1
Y1 Y 0.0000 0.0000 0.5000 1
Ag1 Ag 0.0000 0.5000 0.5000 1
# **Energy above the most stable polymorph in this dataset**: 189 meV/atom
# **Calculated formation energy**: 0.06 eV per atom

***

Entry 3:
# DyPaGaRu | Alexandria | GGA-PBE | relaxed
data_DyPaGaRu
_chemical_formula_sum 'Dy4 Pa4 Ga4 Ru4'
_cell_length_a 6.9935
_cell_length_b 6.9935
_cell_length_c 6.9935
_cell_angle_alpha 90.00
_cell_angle_beta 90.00
_cell_angle_gamma 90.00
_symmetry_space_group_name_H-M 'F -4 3 m'
_symmetry_Int_Tables_number 216
_symmetry_space_group_name_Hall 'F -4 2 3'
loop_
_atom_site_label
_atom_site_type_symbol
_atom_site_fract_x
_atom_site_fract_y
_atom_site_fract_z
_atom_site_occupancy
Dy1 Dy 0.0000 0.0000 0.0000 1
Pa1 Pa 0.0000 0.0000 0.5000 1
Ga1 Ga 0.2500 0.2500 0.2500 1
Ru1 Ru 0.2500 0.2500 0.7500 1
# **Calculated formation energy**: -0.27 eV per atom

***

Entry 4:
# Ho5ScRu3 | Alexandria | GGA-PBE | relaxed
data_Ho5ScRu3
_chemical_formula_sum 'Ho20 Sc4 Ru12'
_cell_length_a 11.9996
_cell_length_b 8.9085
_cell_length_c 9.5837
_cell_angle_alpha 90.00
_cell_angle_beta 109.95
_cell_angle_gamma 90.00
_symmetry_space_group_name_H-M 'C 1 2/m 1'
_symmetry_Int_Tables_number 12
loop_
_symmetry_equiv_pos_as_xyz
'x,y,z'
'-x,-y,-z'
'-x,y,-z'
'x,-y,z'
'x+1/2,y+1/2,z'
'-x+1/2,-y+1/2,-z'
'-x+1/2,y+1/2,-z'
'x+1/2,-y+1/2,z'
loop_
_atom_site_label
_atom_site_type_symbol
_atom_site_fract_x
_atom_site_fract_y
_atom_site_fract_z
_atom_site_occupancy
Ho1 Ho 0.0000 0.2001 0.0000 1
Ho2 Ho 0.0376 0.0000 0.3483 1
Ho3 Ho 0.1822 0.3051 0.6457 1
Ho4 Ho 0.2356 0.5000 0.0507 1
Sc1 Sc 0.0759 0.5000 0.2860 1
Ru1 Ru 0.0000 0.5000 0.0000 1
Ru2 Ru 0.0000 0.5000 0.5000 1
Ru3 Ru 0.1630 0.0000 0.1628 1
Ru4 Ru 0.1938 0.0000 0.6314 1
# **Calculated formation energy**: -0.22 eV per atom

***

Entry 5:
# Tb4Pd2Au | Alexandria | GGA-PBE | relaxed
data_Tb4Pd2Au
_chemical_formula_sum 'Tb12 Pd6 Au3'
_cell_length_a 4.5750
_cell_length_b 4.5750
_cell_length_c 30.5000
_cell_angle_alpha 90.00
_cell_angle_beta 90.00
_cell_angle_gamma 120.00
_symmetry_space_group_name_H-M 'R -3 m'
_symmetry_Int_Tables_number 166
_symmetry_space_group_name_Hall '-R 3 2"'
loop_
_atom_site_label
_atom_site_type_symbol
_atom_site_fract_x
_atom_site_fract_y
_atom_site_fract_z
_atom_site_occupancy
Tb1 Tb 0.0000 0.0000 0.1181 1
Tb2 Tb 0.0000 0.0000 0.2980 1
Pd1 Pd 0.0000 0.0000 0.4034 1
Au1 Au 0.0000 0.0000 0.5000 1
# **Energy above the most stable polymorph in this dataset**: 60 meV/atom
# **Calculated formation energy**: -0.63 eV per atom

***

Entry 6:
# Dy3ZnSe6 | Alexandria | GGA-PBE | relaxed
data_Dy3ZnSe6
_chemical_formula_sum 'Dy12 Zn4 Se24'
_cell_length_a 11.2856
_cell_length_b 14.0872
_cell_length_c 6.6068
_cell_angle_alpha 90.00
_cell_angle_beta 90.00
_cell_angle_gamma 90.00
_symmetry_space_group_name_H-M 'C m c 21'
_symmetry_Int_Tables_number 36
loop_
_symmetry_equiv_pos_as_xyz
'x,y,z'
'-x,-y,z+1/2'
'-x,y,z'
'x,-y,z+1/2'
'x+1/2,y+1/2,z'
'-x+1/2,-y+1/2,z+1/2'
'-x+1/2,y+1/2,z'
'x+1/2,-y+1/2,z+1/2'
loop_
_atom_site_label
_atom_site_type_symbol
_atom_site_fract_x
_atom_site_fract_y
_atom_site_fract_z
_atom_site_occupancy
Dy1 Dy 0.0000 0.1108 0.0000 1
Dy2 Dy 0.1770 0.3966 0.0829 1
Zn1 Zn 0.0000 0.3000 0.6322 1
Se1 Se 0.0000 0.2772 0.2669 1
Se2 Se 0.0000 0.4640 0.7775 1
Se3 Se 0.1613 0.0221 0.2917 1
Se4 Se 0.1741 0.2340 0.8106 1
# **Energy**: -5.0601 eV per atom

***

Entry 7:
# Hf8Ga2Au | Alexandria | GGA-PBE | relaxed
data_Hf8Ga2Au
_chemical_formula_sum 'Hf16 Ga4 Au2'
_cell_length_a 7.8952
_cell_length_b 12.5334
_cell_length_c 5.1217
_cell_angle_alpha 90.00
_cell_angle_beta 112.57
_cell_angle_gamma 90.00
_symmetry_space_group_name_H-M 'C 1 2/m 1'
_symmetry_Int_Tables_number 12
loop_
_symmetry_equiv_pos_as_xyz
'x,y,z'
'-x,-y,-z'
'-x,y,-z'
'x,-y,z'
'x+1/2,y+1/2,z'
'-x+1/2,-y+1/2,-z'
'-x+1/2,y+1/2,-z'
'x+1/2,-y+1/2,z'
loop_
_atom_site_label
_atom_site_type_symbol
_atom_site_fract_x
_atom_site_fract_y
_atom_site_fract_z
_atom_site_occupancy
Hf1 Hf 0.0000 0.2250 0.0000 1
Hf2 Hf 0.0979 0.5000 0.8070 1
Hf3 Hf 0.2094 0.1197 0.6022 1
Ga1 Ga 0.0000 0.3043 0.5000 1
Au1 Au 0.0000 0.0000 0.0000 1
# **Calculated formation energy**: -0.09 eV per atom

***

Entry 8:
# Na3Hg2 | Alexandria | GGA-PBE | relaxed
data_Na3Hg2
_chemical_formula_sum 'Na6 Hg4'
_cell_length_a 4.9150
_cell_length_b 6.8547
_cell_length_c 8.6133
_cell_angle_alpha 90.00
_cell_angle_beta 90.00
_cell_angle_gamma 90.00
_symmetry_space_group_name_H-M 'I m m m'
_symmetry_Int_Tables_number 71
_symmetry_space_group_name_Hall '-I 2 2'
loop_
_atom_site_label
_atom_site_type_symbol
_atom_site_fract_x
_atom_site_fract_y
_atom_site_fract_z
_atom_site_occupancy
Na1 Na 0.0000 0.0000 0.0000 1
Na2 Na 0.0000 0.5000 0.2013 1
Hg1 Hg 0.0000 0.2150 0.5000 1
# **Energy above the most stable polymorph in this dataset**: 22 meV/atom
# **Calculated formation energy**: -0.20 eV per atom